Entry 1:
Sc2Ga2Ru after structural relaxation. Source: Alexandria via LeMat-Bulk, functional PBE-GGA.

CIF file:
```
data_Sc2Ga2Ru
_chemical_formula_sum 'Sc4 Ga4 Ru2'
_symmetry_space_group_name_H-M 'P 1'
_symmetry_Int_Tables_number 1
_cell_length_a 6.852
_cell_length_b 6.852
_cell_length_c 3.765
_cell_angle_alpha 90.00
_cell_angle_beta 90.00
_cell_angle_gamma 90.00
loop_
_symmetry_equiv_pos_as_xyz
'x,y,z'
loop_
_atom_site_label
_atom_site_type_symbol
_atom_site_fract_x
_atom_site_fract_y
_atom_site_fract_z
Sc1 Sc 0.175 0.675 0.500
Sc2 Sc 0.675 0.825 0.500
Sc3 Sc 0.825 0.325 0.500
Sc4 Sc 0.325 0.175 0.500
Ru1 Ru 0.000 0.000 0.000
Ru2 Ru 0.500 0.500 0.000
Ga1 Ga 0.369 0.869 0.000
Ga2 Ga 0.869 0.631 0.000
Ga3 Ga 0.631 0.131 0.000
Ga4 Ga 0.131 0.369 0.000
```

The formation energy comes out at -542 meV per atom. For the size of the total moment, the calculation gives 0.0 μB per formula unit.

Entry 2:
Sc8GaRu2 after structural relaxation. Source: Alexandria via LeMat-Bulk, functional PBE-GGA.

CIF file:
```
data_Sc8GaRu2
_chemical_formula_sum 'Sc8 Ga1 Ru2'
_symmetry_space_group_name_H-M 'P 1'
_symmetry_Int_Tables_number 1
_cell_length_a 4.801
_cell_length_b 6.476
_cell_length_c 8.376
_cell_angle_alpha 112.73
_cell_angle_beta 106.64
_cell_angle_gamma 90.01
loop_
_symmetry_equiv_pos_as_xyz
'x,y,z'
loop_
_atom_site_label
_atom_site_type_symbol
_atom_site_fract_x
_atom_site_fract_y
_atom_site_fract_z
Sc1 Sc 0.636 0.265 0.909
Sc2 Sc 0.971 0.018 0.578
Sc3 Sc 0.302 0.349 0.240
Sc4 Sc 0.748 0.941 0.133
Sc5 Sc 0.346 0.853 0.328
Sc6 Sc 0.927 0.434 0.490
Sc7 Sc 0.137 0.553 0.909
Sc8 Sc 0.524 0.717 0.685
Ga1 Ga 0.136 0.974 0.909
Ru1 Ru 0.806 0.617 0.248
Ru2 Ru 0.467 0.279 0.570
```

The formation energy comes out at -383 meV per atom. For the size of the total moment, the calculation gives 0.0 μB per formula unit.

Entry 3:
ScGa2Ru2 after structural relaxation. Source: Alexandria via LeMat-Bulk, functional PBE-GGA.

CIF file:
```
data_ScGa2Ru2
_chemical_formula_sum 'Sc1 Ga2 Ru2'
_symmetry_space_group_name_H-M 'P 1'
_symmetry_Int_Tables_number 1
_cell_length_a 4.071
_cell_length_b 4.071
_cell_length_c 6.012
_cell_angle_alpha 70.21
_cell_angle_beta 70.21
_cell_angle_gamma 90.00
loop_
_symmetry_equiv_pos_as_xyz
'x,y,z'
loop_
_atom_site_label
_atom_site_type_symbol
_atom_site_fract_x
_atom_site_fract_y
_atom_site_fract_z
Sc1 Sc 0.000 0.000 0.000
Ru1 Ru 0.388 0.388 0.224
Ru2 Ru 0.612 0.612 0.776
Ga1 Ga 0.750 0.250 0.500
Ga2 Ga 0.250 0.750 0.500
```

The formation energy comes out at -236 meV per atom. For the size of the total moment, the calculation gives 0.0 μB per formula unit.